Entry 1:
This record from Alexandria describes an optimized crystal structure of In2OsCl. The functional is PBE-GGA.

Output
Offset from the most stable computed form: 0 meV/atom
Energy relative to the elements, uncorrected: 0.024 eV per atom

Cell: 3.2422 3.3044 7.8869 Å, 89.88 90.00 90.00°
Positions (direct):
Cl (0.5000, 0.7500, 0.7500)
Os (0.5000, 0.2500, 0.2500)
In (0.0000, 0.7512, 0.0500)
In (0.0000, 0.7488, 0.4500)


Entry 2:
This record from Alexandria describes an optimized crystal structure of Tb14HoZr. The functional is PBE-GGA.

Output
Energy of formation from the pure elements: 0.036 eV/atom

Cell: 7.0685 7.0685 9.9720 Å, 90.00 90.00 90.00°
Positions (direct):
Tb (0.3749, 0.6251, 0.5000)
Tb (0.8750, 0.1250, 0.5000)
Tb (0.8750, 0.6250, 0.0000)
Tb (0.8749, 0.6250, 0.5000)
Tb (0.3750, 0.1250, 0.0000)
Tb (0.3750, 0.1251, 0.5000)
Tb (0.6298, 0.8798, 0.7554)
Tb (0.6298, 0.8798, 0.2446)
Tb (0.1202, 0.3702, 0.7554)
Tb (0.1202, 0.3702, 0.2446)
Tb (0.1203, 0.8797, 0.7554)
Tb (0.1203, 0.8797, 0.2446)
Tb (0.6297, 0.3703, 0.7554)
Tb (0.6297, 0.3703, 0.2446)
Ho (0.3751, 0.6249, 0.0000)
Zr (0.8750, 0.1250, 0.0000)


Table of energy (eV/cell), in record order: -18.46; -77.38
Table of M_tot (μB per cell), in record order: 0.0; 0.0